DFT (GGA-PBE) results for crystalline Sr3TcNi at its relaxed geometry.

Unit cell a=5.643 b=5.643 c=5.643 alpha=90.00 beta=90.00 gamma=90.00
Fractional positions:
Sr 0.000 0.000 0.500
Sr 0.000 0.500 0.000
Sr 0.500 0.000 0.000
Tc 0.500 0.500 0.500
Ni 0.000 0.000 0.000

Values from the calculation:
DFT formation energy ... 3.96 eV/f.u.
Total magnetization ... 3.61 μB/cell

DFT (GGA-PBE) results for crystalline Pm2PaAl at its relaxed geometry.

Unit cell a=4.824 b=4.824 c=4.593 alpha=90.00 beta=90.00 gamma=90.00
Fractional positions:
Pm 0.000 0.500 0.000
Pm 0.500 0.000 0.000
Pa 0.000 0.000 0.500
Al 0.500 0.500 0.500

Values from the calculation:
DFT formation energy ... 0.10 eV/f.u.
Total magnetization ... 0.00 μB/cell

DFT (GGA-PBE) results for crystalline Ce2In3Bi3 at its relaxed geometry.

Unit cell a=4.867 b=5.019 c=9.249 alpha=90.00 beta=90.00 gamma=90.00
Fractional positions:
Ce 0.000 0.000 0.247
Ce 0.000 0.000 0.753
In 0.000 0.500 0.500
In 0.500 0.500 0.259
In 0.500 0.500 0.741
Bi 0.000 0.500 0.000
Bi 0.500 0.000 0.000
Bi 0.500 0.000 0.500

Values from the calculation:
DFT formation energy ... -3.60 eV/f.u.
Total magnetization ... 1.46 μB/cell

DFT (GGA-PBE) results for crystalline CdSi3Rh3 at its relaxed geometry.

Unit cell a=6.519 b=6.519 c=6.519 alpha=90.00 beta=90.00 gamma=90.00
Fractional positions:
Cd 0.000 0.000 0.000
Cd 0.500 0.500 0.500
Si 0.000 0.250 0.500
Si 0.000 0.750 0.500
Si 0.250 0.500 0.000
Si 0.500 0.000 0.250
Si 0.500 0.000 0.750
Si 0.750 0.500 0.000
Rh 0.000 0.500 0.250
Rh 0.000 0.500 0.750
Rh 0.250 0.000 0.500
Rh 0.500 0.250 0.000
Rh 0.500 0.750 0.000
Rh 0.750 0.000 0.500

Values from the calculation:
Total magnetization ... 0.00 μB/cell
Uncorrected formation energy ... -67 kJ/mol of formula units

DFT (GGA-PBE) results for crystalline SrMo2P at its relaxed geometry.

Unit cell a=5.606 b=9.721 c=2.754 alpha=90.00 beta=90.00 gamma=90.00
Fractional positions:
Sr 0.000 0.000 0.000
Sr 0.500 0.500 0.000
Mo 0.250 0.250 0.500
Mo 0.250 0.750 0.500
Mo 0.750 0.250 0.500
Mo 0.750 0.750 0.500
P 0.000 0.500 0.000
P 0.500 0.000 0.000

Values from the calculation:
DFT formation energy ... 4.01 eV/f.u.
Total magnetization ... 0.00 μB/cell

DFT (GGA-PBE) results for crystalline HfCd2Cu at its relaxed geometry.

Unit cell a=3.093 b=3.093 c=7.869 alpha=90.00 beta=90.00 gamma=90.00
Fractional positions:
Hf 0.000 0.000 0.000
Cd 0.500 0.500 0.280
Cd 0.500 0.500 0.720
Cu 0.000 0.000 0.500

Values from the calculation:
DFT formation energy ... 0.16 eV/f.u.
Total magnetization ... 0.17 μB/cell

DFT (GGA-PBE) results for crystalline SrLiGa2Ag at its relaxed geometry.

Unit cell a=4.411 b=4.613 c=10.851 alpha=90.00 beta=90.00 gamma=90.00
Fractional positions:
Sr 0.000 0.000 0.000
Sr 0.500 0.500 0.500
Li 0.000 0.500 0.743
Li 0.500 0.000 0.243
Ga 0.000 0.000 0.622
Ga 0.000 0.500 0.246
Ga 0.500 0.000 0.746
Ga 0.500 0.500 0.122
Ag 0.000 0.000 0.379
Ag 0.500 0.500 0.879

Values from the calculation:
DFT formation energy ... -1.80 eV/f.u.
Total magnetization ... 0.00 μB/cell

DFT (GGA-PBE) results for crystalline Ca2BeSiB at its relaxed geometry.

Unit cell a=5.262 b=5.262 c=3.762 alpha=90.00 beta=90.00 gamma=90.00
Fractional positions:
Ca 0.000 0.500 0.000
Ca 0.500 0.000 0.000
Be 0.000 0.000 0.500
Si 0.500 0.500 0.500
B 0.500 0.500 0.000

Values from the calculation:
Total magnetization ... 0.00 μB/cell
Uncorrected formation energy ... 143 kJ/mol of formula units

DFT (GGA-PBE) results for crystalline TlAgAs2 at its relaxed geometry.

Unit cell a=9.384 b=3.769 c=5.775 alpha=90.00 beta=102.23 gamma=90.00
Fractional positions:
Tl 0.000 0.000 0.000
Tl 0.500 0.500 0.000
Ag 0.000 0.500 0.500
Ag 0.500 0.000 0.500
As 0.249 0.000 0.655
As 0.251 0.500 0.345
As 0.749 0.500 0.655
As 0.751 0.000 0.345

Values from the calculation:
DFT formation energy ... 0.52 eV/f.u.
Total magnetization ... 0.00 μB/cell

DFT (GGA-PBE) results for crystalline HfNp2S5 at its relaxed geometry.

Unit cell a=6.930 b=6.930 c=12.529 alpha=90.00 beta=90.00 gamma=135.23
Fractional positions:
Hf 0.201 0.799 0.750
Hf 0.799 0.201 0.250
Np 0.149 0.851 0.063
Np 0.149 0.851 0.437
Np 0.851 0.149 0.563
Np 0.851 0.149 0.937
S 0.050 0.950 0.624
S 0.050 0.950 0.876
S 0.269 0.731 0.250
S 0.317 0.683 0.580
S 0.317 0.683 0.920
S 0.683 0.317 0.080
S 0.683 0.317 0.420
S 0.731 0.269 0.750
S 0.950 0.050 0.124
S 0.950 0.050 0.376

Values from the calculation:
Total magnetization ... 16.01 μB/cell
Uncorrected formation energy ... -1057 kJ/mol of formula units

DFT (GGA-PBE) results for crystalline HfZr2Ga2Rh5 at its relaxed geometry.

Unit cell a=9.512 b=9.512 c=3.677 alpha=90.00 beta=90.00 gamma=90.00
Fractional positions:
Hf 0.000 0.000 0.000
Hf 0.500 0.500 0.000
Zr 0.173 0.327 0.000
Zr 0.327 0.827 0.000
Zr 0.673 0.173 0.000
Zr 0.827 0.673 0.000
Ga 0.124 0.624 0.000
Ga 0.376 0.124 0.000
Ga 0.624 0.876 0.000
Ga 0.876 0.376 0.000
Rh 0.000 0.500 0.500
Rh 0.070 0.794 0.500
Rh 0.206 0.070 0.500
Rh 0.294 0.570 0.500
Rh 0.430 0.294 0.500
Rh 0.500 0.000 0.500
Rh 0.570 0.706 0.500
Rh 0.706 0.430 0.500
Rh 0.794 0.930 0.500
Rh 0.930 0.206 0.500

Values from the calculation:
DFT formation energy ... -7.84 eV/f.u.
Total magnetization ... 0.00 μB/cell

DFT (GGA-PBE) results for crystalline Mg2BeRu at its relaxed geometry.

Unit cell a=3.809 b=3.809 c=4.036 alpha=90.00 beta=90.00 gamma=90.00
Fractional positions:
Mg 0.000 0.500 0.000
Mg 0.500 0.000 0.000
Be 0.000 0.000 0.500
Ru 0.500 0.500 0.500

Values from the calculation:
DFT formation energy ... 0.45 eV/f.u.
Total magnetization ... 0.35 μB/cell

DFT (GGA-PBE) results for crystalline Ba3GaAu2O6 at its relaxed geometry.

Unit cell a=5.994 b=5.994 c=6.805 alpha=90.00 beta=90.00 gamma=120.00
Fractional positions:
Ba 0.000 0.000 0.000
Ba 0.333 0.667 0.635
Ba 0.667 0.333 0.365
Ga 0.000 0.000 0.500
Au 0.333 0.667 0.142
Au 0.667 0.333 0.858
O 0.158 0.316 0.326
O 0.158 0.842 0.326
O 0.316 0.158 0.674
O 0.684 0.842 0.326
O 0.842 0.158 0.674
O 0.842 0.684 0.674

Values from the calculation:
Total magnetization ... 0.00 μB/cell
Uncorrected formation energy ... -1631 kJ/mol of formula units

DFT (GGA-PBE) results for crystalline AcY3Zn4 at its relaxed geometry.

Unit cell a=5.172 b=5.172 c=7.369 alpha=90.00 beta=90.00 gamma=90.00
Fractional positions:
Ac 0.000 0.000 0.000
Y 0.000 0.000 0.500
Y 0.500 0.500 0.000
Y 0.500 0.500 0.500
Zn 0.000 0.500 0.272
Zn 0.000 0.500 0.728
Zn 0.500 0.000 0.272
Zn 0.500 0.000 0.728

Values from the calculation:
DFT formation energy ... -2.37 eV/f.u.
Total magnetization ... 0.00 μB/cell

DFT (GGA-PBE) results for crystalline SrLa2Tl at its relaxed geometry.

Unit cell a=14.078 b=3.988 c=5.788 alpha=90.00 beta=114.20 gamma=90.00
Fractional positions:
Sr 0.000 0.000 0.000
Sr 0.500 0.500 0.000
La 0.213 0.000 0.713
La 0.287 0.500 0.287
La 0.713 0.500 0.713
La 0.787 0.000 0.287
Tl 0.000 0.500 0.500
Tl 0.500 0.000 0.500

Values from the calculation:
DFT formation energy ... -0.71 eV/f.u.
Total magnetization ... 0.00 μB/cell

DFT (GGA-PBE) results for crystalline Tl2Cd2Pb5 at its relaxed geometry.

Unit cell a=7.396 b=7.396 c=7.942 alpha=105.90 beta=105.90 gamma=39.90
Fractional positions:
Tl 0.167 0.167 0.490
Tl 0.833 0.833 0.510
Cd 0.279 0.279 0.169
Cd 0.721 0.721 0.831
Pb 0.065 0.065 0.841
Pb 0.384 0.384 0.837
Pb 0.500 0.500 0.500
Pb 0.616 0.616 0.163
Pb 0.935 0.935 0.159

Values from the calculation:
DFT formation energy ... 0.23 eV/f.u.
Total magnetization ... 0.00 μB/cell

DFT (GGA-PBE) results for crystalline YCuSe2N at its relaxed geometry.

Unit cell a=5.501 b=5.501 c=4.446 alpha=90.00 beta=90.00 gamma=90.00
Fractional positions:
Y 0.000 0.000 0.000
Cu 0.500 0.500 0.500
Se 0.000 0.500 0.000
Se 0.500 0.000 0.000
N 0.000 0.000 0.500

Values from the calculation:
Total magnetization ... 2.66 μB/cell
Uncorrected formation energy ... 225 kJ/mol of formula units

DFT (GGA-PBE) results for crystalline Ac4La3MnN8 at its relaxed geometry.

Unit cell a=7.654 b=7.654 c=7.369 alpha=118.49 beta=118.49 gamma=57.19
Fractional positions:
Ac 0.000 0.000 0.000
Ac 0.000 0.500 0.500
Ac 0.500 0.000 0.500
Ac 0.500 0.500 0.000
La 0.000 0.000 0.500
La 0.000 0.500 0.000
La 0.500 0.000 0.000
Mn 0.500 0.500 0.500
N 0.219 0.219 0.210
N 0.249 0.249 0.758
N 0.274 0.726 0.281
N 0.274 0.726 0.719
N 0.726 0.274 0.281
N 0.726 0.274 0.719
N 0.751 0.751 0.242
N 0.781 0.781 0.790

Values from the calculation:
Total magnetization ... 3.87 μB/cell
Uncorrected formation energy ... -1380 kJ/mol of formula units

DFT (GGA-PBE) results for crystalline CeGaAg at its relaxed geometry.

Unit cell a=10.459 b=4.711 c=7.090 alpha=90.00 beta=130.25 gamma=90.00
Fractional positions:
Ce 0.024 0.000 0.291
Ce 0.476 0.500 0.709
Ce 0.524 0.500 0.291
Ce 0.976 0.000 0.709
Ga 0.158 0.500 0.122
Ga 0.342 0.000 0.878
Ga 0.658 0.000 0.122
Ga 0.842 0.500 0.878
Ag 0.176 0.500 0.718
Ag 0.324 0.000 0.282
Ag 0.676 0.000 0.718
Ag 0.824 0.500 0.282

Values from the calculation:
DFT formation energy ... -1.13 eV/f.u.
Total magnetization ... 2.76 μB/cell

DFT (GGA-PBE) results for crystalline Ir2C at its relaxed geometry.

Unit cell a=2.834 b=2.972 c=9.377 alpha=90.00 beta=90.00 gamma=90.00
Fractional positions:
Ir 0.000 0.000 0.142
Ir 0.000 0.000 0.858
Ir 0.500 0.500 0.358
Ir 0.500 0.500 0.642
C 0.000 0.500 0.000
C 0.500 0.000 0.500

Values from the calculation:
DFT formation energy ... 2.11 eV/f.u.
Total magnetization ... 0.00 μB/cell

DFT (GGA-PBE) results for crystalline CuTeS at its relaxed geometry.

Unit cell a=3.147 b=3.147 c=13.539 alpha=90.00 beta=90.00 gamma=90.00
Fractional positions:
Cu 0.000 0.000 0.000
Cu 0.500 0.500 0.500
Te 0.000 0.000 0.201
Te 0.500 0.500 0.701
S 0.000 0.000 0.445
S 0.500 0.500 0.945

Values from the calculation:
Total magnetization ... 0.00 μB/cell
Uncorrected formation energy ... 20 kJ/mol of formula units

DFT (GGA-PBE) results for crystalline InSb2Te at its relaxed geometry.

Unit cell a=3.142 b=6.362 c=6.265 alpha=90.00 beta=102.30 gamma=90.00
Fractional positions:
In 0.000 0.000 0.000
Sb 0.768 0.000 0.477
Sb 0.792 0.500 0.502
Te 0.006 0.500 0.983

Values from the calculation:
Total magnetization ... 0.00 μB/cell
Uncorrected formation energy ... -3 kJ/mol of formula units

DFT (GGA-PBE) results for crystalline CrCoBr3 at its relaxed geometry.

Unit cell a=5.007 b=5.007 c=5.007 alpha=90.00 beta=90.00 gamma=90.00
Fractional positions:
Cr 0.000 0.000 0.000
Co 0.500 0.500 0.500
Br 0.000 0.500 0.500
Br 0.500 0.000 0.500
Br 0.500 0.500 0.000

Values from the calculation:
Total magnetization ... 2.65 μB/cell
Uncorrected formation energy ... 109 kJ/mol of formula units

DFT (GGA-PBE) results for crystalline Cd3P at its relaxed geometry.

Unit cell a=4.194 b=4.194 c=19.648 alpha=90.00 beta=90.00 gamma=90.00
Fractional positions:
Cd 0.000 0.000 0.132
Cd 0.000 0.000 0.868
Cd 0.000 0.500 0.000
Cd 0.000 0.500 0.250
Cd 0.000 0.500 0.500
Cd 0.000 0.500 0.750
Cd 0.500 0.000 0.000
Cd 0.500 0.000 0.250
Cd 0.500 0.000 0.500
Cd 0.500 0.000 0.750
Cd 0.500 0.500 0.368
Cd 0.500 0.500 0.632
P 0.000 0.000 0.397
P 0.000 0.000 0.603
P 0.500 0.500 0.103
P 0.500 0.500 0.897

Values from the calculation:
DFT formation energy ... 0.82 eV/f.u.
Total magnetization ... 0.00 μB/cell

DFT (GGA-PBE) results for crystalline AcPr3NdDy at its relaxed geometry.

Unit cell a=10.902 b=10.902 c=7.144 alpha=91.36 beta=91.36 gamma=31.68
Fractional positions:
Ac 0.148 0.148 0.033
Ac 0.852 0.852 0.967
Pr 0.016 0.016 0.744
Pr 0.281 0.281 0.725
Pr 0.340 0.340 0.256
Pr 0.660 0.660 0.744
Pr 0.719 0.719 0.275
Pr 0.984 0.984 0.256
Nd 0.444 0.444 0.718
Nd 0.556 0.556 0.282
Dy 0.143 0.143 0.490
Dy 0.857 0.857 0.510

Values from the calculation:
DFT formation energy ... 1.09 eV/f.u.
Total magnetization ... 0.00 μB/cell